RbSbSeN2 after structural relaxation, computed with GGA-PBE.

Structure (POSCAR):
```
RbSbSeN2
1.0
-2.021 -3.745 -1.152
1.347 -1.881 3.753
-4.552 1.694 2.483
Rb Se Sb N
1 1 1 2
Direct
0.500 0.500 0.500 Rb
0.000 0.000 0.500 Se
0.000 0.000 0.000 Sb
0.000 0.500 0.000 N
0.500 0.000 0.000 N
```

Output
ρ = 4.92 g cm⁻³
Relative energy among the computed polymorphs = 0.00 eV/f.u.
ΔE_f (raw) = 0.87 eV/atom
Magnetic moment = 2.4 μB per formula unit
DOS(E_F) = 0.6076 states/eV per atom
Crystal system = tetragonal